(1)
Material: BeIr2Cl
Method: DFT, PBE-GGA
State: relaxed

Unit cell a=5.278 b=5.278 c=4.075 alpha=89.98 beta=89.98 gamma=30.42
Positions (direct):
Be1 0.472 0.472 0.374
Ir1 0.016 0.016 0.875
Ir2 0.745 0.745 0.875
Cl1 0.267 0.267 0.375

Output
* mass density: 12.4 g/cm³
* DOS at the Fermi energy: 2.7 states/eV per cell
* excess energy over the best structure of this formula in the dataset: 294 meV/atom

(2)
Material: BeIrCl
Method: DFT, PBE-GGA
State: relaxed

Unit cell a=4.026 b=4.026 c=4.026 alpha=60.00 beta=60.00 gamma=60.00
Positions (direct):
Be1 0.750 0.750 0.750
Ir1 0.500 0.500 0.500
Cl1 0.250 0.250 0.250

Output
* mass density: 8.5 g/cm³
* DOS at the Fermi energy: 1.4 states/eV per cell
* excess energy over the best structure of this formula in the dataset: 1149 meV/atom